Material: Sm3BWO9
Method: DFT, PBE+U
State: relaxed

Structure (extended XYZ):
```
28
Lattice="8.717 0.000 0.000 -4.358 7.549 0.000 0.000 0.000 5.518" Properties=species:S:1:pos:R:3 pbc="T T T"
O 4.594 4.044 2.996
O 1.325 0.389 4.762
O 3.033 7.160 2.003
O 2.842 2.909 5.377
O -1.205 6.000 0.237
O -3.359 6.596 2.003
O 1.440 5.592 0.237
O 1.517 4.640 2.618
Sm -2.461 5.465 3.886
O 5.563 1.549 2.996
O 4.777 1.007 5.377
O 4.033 6.207 4.762
O 2.918 1.957 2.996
O -0.418 6.542 2.618
W 4.358 2.516 4.129
Sm 6.819 2.084 1.127
O 5.457 3.633 5.377
Sm 1.605 6.947 3.886
O 7.718 0.953 4.762
Sm 3.503 4.864 1.127
Sm 0.856 2.685 3.886
Sm 2.753 0.602 1.127
B 0.000 0.000 4.810
O -0.236 3.506 0.237
B 0.000 0.000 2.051
O 0.326 1.342 2.003
O -1.098 3.916 2.618
W 0.000 5.033 1.370
```

Output
Magnetization: 0.00 μB per formula unit
Space group: P6_3
E: -8.186 eV per atom
ρ: 7.2 Mg/m³